The following is a PBE-GGA calculation of an optimized crystal structure of WAuCl, from Alexandria via LeMat-Bulk.

```
WAuCl
1.0
0.000 3.026 3.026
3.026 0.000 3.026
3.026 3.026 0.000
W Au Cl
1 1 1
Cartesian
0.000 0.000 0.000 W
3.026 3.026 3.026 Au
4.539 4.539 4.539 Cl
```

Relative energy among the computed polymorphs, meV per atom: 1375.8
Magnetic moment, μB per cell: 0.00
Energy relative to the elements, uncorrected, kJ/mol of formula units: 471.0
Fermi-level density of states, states/eV/cell: 2.88